# 1
# Hf2ZnSn (PBE, optimized geometry)
# uncorrected energy: -6.215 eV per atom
# N(E_F): 3.59 states/eV/f.u.
data_Hf2ZnSn
_chemical_formula_sum 'Hf8 Zn4 Sn4'
_space_group_name_H-M_alt 'I -4 2 d'
_space_group_IT_number 122
_space_group_name_Hall 'I -4 2bw'
_cell_length_a 7.6383
_cell_length_b 7.6383
_cell_length_c 5.9183
_cell_angle_alpha 90.00
_cell_angle_beta 90.00
_cell_angle_gamma 90.00
loop_
_atom_site_label
_atom_site_type_symbol
_atom_site_fract_x
_atom_site_fract_y
_atom_site_fract_z
_atom_site_occupancy
Hf1 Hf 0.2337 0.2500 0.1250 1
Zn1 Zn 0.0000 0.0000 0.0000 1
Sn1 Sn 0.0000 0.0000 0.5000 1

=====

# 2
# Hf4ZnSn2 (PBE, optimized geometry)
# energy above the most stable polymorph in this dataset: 0 meV per atom
# N(E_F): 4.89 states/eV/f.u.
data_Hf4ZnSn2
_chemical_formula_sum 'Hf8 Zn2 Sn4'
_space_group_name_H-M_alt 'C 1 2/m 1'
_space_group_IT_number 12
_cell_length_a 15.0465
_cell_length_b 3.1800
_cell_length_c 7.4499
_cell_angle_alpha 90.00
_cell_angle_beta 119.35
_cell_angle_gamma 90.00
loop_
_space_group_symop_operation_xyz
'x,y,z'
'-x,-y,-z'
'-x,y,-z'
'x,-y,z'
'x+1/2,y+1/2,z'
'-x+1/2,-y+1/2,-z'
'-x+1/2,y+1/2,-z'
'x+1/2,-y+1/2,z'
loop_
_atom_site_label
_atom_site_type_symbol
_atom_site_fract_x
_atom_site_fract_y
_atom_site_fract_z
_atom_site_occupancy
Hf1 Hf 0.0763 0.0000 0.4319 1
Hf2 Hf 0.1191 0.5000 0.8591 1
Zn1 Zn 0.0000 0.0000 0.0000 1
Sn1 Sn 0.2245 0.0000 0.2675 1

=====

# 3
# HfZnSn3 (PBE, optimized geometry)
# energy above the most stable polymorph in this dataset: 213 meV per atom
# N(E_F): 3.77 states/eV/f.u.
data_HfZnSn3
_chemical_formula_sum 'Hf1 Zn1 Sn3'
_space_group_name_H-M_alt 'P m -3 m'
_space_group_IT_number 221
_space_group_name_Hall '-P 4 2 3'
_cell_length_a 5.1209
_cell_length_b 5.1209
_cell_length_c 5.1209
_cell_angle_alpha 90.00
_cell_angle_beta 90.00
_cell_angle_gamma 90.00
loop_
_atom_site_label
_atom_site_type_symbol
_atom_site_fract_x
_atom_site_fract_y
_atom_site_fract_z
_atom_site_occupancy
Hf1 Hf 0.0000 0.0000 0.0000 1
Zn1 Zn 0.5000 0.5000 0.5000 1
Sn1 Sn 0.0000 0.5000 0.5000 1

=====

# 4
# Hf4ZnSn2 (PBE, optimized geometry)
# energy above the most stable polymorph in this dataset: 375 meV per atom
# N(E_F): 7.86 states/eV/f.u.
data_Hf4ZnSn2
_chemical_formula_sum 'Hf8 Zn2 Sn4'
_space_group_name_H-M_alt 'I 4/m m m'
_space_group_IT_number 139
_space_group_name_Hall '-I 4 2'
_cell_length_a 4.7657
_cell_length_b 4.7657
_cell_length_c 15.0857
_cell_angle_alpha 90.00
_cell_angle_beta 90.00
_cell_angle_gamma 90.00
loop_
_atom_site_label
_atom_site_type_symbol
_atom_site_fract_x
_atom_site_fract_y
_atom_site_fract_z
_atom_site_occupancy
Hf1 Hf 0.0000 0.0000 0.1683 1
Hf2 Hf 0.0000 0.5000 0.0000 1
Zn1 Zn 0.0000 0.0000 0.0000 1
Sn1 Sn 0.0000 0.0000 0.3616 1

=====

# 5
# Hf4ZnSn (PBE, optimized geometry)
# uncorrected energy: -7.694 eV per atom
# N(E_F): 6.75 states/eV/f.u.
data_Hf4ZnSn
_chemical_formula_sum 'Hf8 Zn2 Sn2'
_space_group_name_H-M_alt 'P 4/m c c'
_space_group_IT_number 124
_space_group_name_Hall '-P 4 2c'
_cell_length_a 6.7842
_cell_length_b 6.7842
_cell_length_c 5.4833
_cell_angle_alpha 90.00
_cell_angle_beta 90.00
_cell_angle_gamma 90.00
loop_
_atom_site_label
_atom_site_type_symbol
_atom_site_fract_x
_atom_site_fract_y
_atom_site_fract_z
_atom_site_occupancy
Hf1 Hf 0.1418 0.3386 0.0000 1
Zn1 Zn 0.0000 0.0000 0.2500 1
Sn1 Sn 0.5000 0.5000 0.2500 1

=====

# 6
# Hf8Zn2Sn (PBE, optimized geometry)
# uncorrected energy: -7.822 eV per atom
# N(E_F): 11.72 states/eV/f.u.
data_Hf8Zn2Sn
_chemical_formula_sum 'Hf16 Zn4 Sn2'
_space_group_name_H-M_alt 'C 1 2/m 1'
_space_group_IT_number 12
_cell_length_a 7.8543
_cell_length_b 12.6152
_cell_length_c 5.0684
_cell_angle_alpha 90.00
_cell_angle_beta 109.18
_cell_angle_gamma 90.00
loop_
_space_group_symop_operation_xyz
'x,y,z'
'-x,-y,-z'
'-x,y,-z'
'x,-y,z'
'x+1/2,y+1/2,z'
'-x+1/2,-y+1/2,-z'
'-x+1/2,y+1/2,-z'
'x+1/2,-y+1/2,z'
loop_
_atom_site_label
_atom_site_type_symbol
_atom_site_fract_x
_atom_site_fract_y
_atom_site_fract_z
_atom_site_occupancy
Hf1 Hf 0.0000 0.2378 0.0000 1
Hf2 Hf 0.0906 0.5000 0.8016 1
Hf3 Hf 0.2023 0.1188 0.6117 1
Zn1 Zn 0.0000 0.3069 0.5000 1
Sn1 Sn 0.0000 0.0000 0.0000 1